First-principles (SCAN) data for CsNaGe2 at its PBEsol-relaxed geometry, as listed in Alexandria via LeMat-Bulk.

Cell lengths 8.3916, 9.6260, 13.1954 Å; angles 90.00, 111.35, 90.00 degrees
Space group P2_1/c (No. 14)
Unique sites:
Cs1 0.0129 0.0249 0.2785 x4
Cs2 0.1531 0.2029 0.0348 x4
Na1 0.4486 0.5354 0.3135 x4
Na2 0.4499 0.6028 0.8978 x4
Ge1 0.2578 0.5978 0.0560 x4
Ge2 0.2794 0.6896 0.6716 x4
Ge3 0.3104 0.6613 0.4876 x4
Ge4 0.4439 0.2220 0.3547 x4

Summary:
total magnetic moment: 0.00 μB/atom
formation energy: -1.03 eV per formula unit

=====

First-principles (SCAN) data for K5Pt at its PBEsol-relaxed geometry, as listed in Alexandria via LeMat-Bulk.

Cell lengths 4.3426, 4.3426, 14.3979 Å; angles 90.00, 90.00, 90.00 degrees
Space group P4/mmm (No. 123)
Unique sites:
K1 0.0000 0.0000 0.0000 x1
K2 0.0000 0.0000 0.4001 x2
K3 0.5000 0.5000 0.2348 x2
Pt1 0.5000 0.5000 0.5000 x1

Summary:
total magnetic moment: 0.01 μB/atom
energy above the most stable polymorph in this dataset: 0.0 meV per atom
formation energy: 0.55 eV per formula unit

=====

First-principles (SCAN) data for CeSnPd at its PBEsol-relaxed geometry, as listed in Alexandria via LeMat-Bulk.

Cell lengths 7.4324, 7.4324, 4.1428 Å; angles 90.00, 90.00, 120.00 degrees
Space group P-62m (No. 189)
Unique sites:
Ce1 0.0000 0.5860 0.0000 x3
Sn1 0.0000 0.2517 0.5000 x3
Pd1 0.0000 0.0000 0.0000 x1
Pd2 0.3333 0.6667 0.5000 x2

Summary:
total magnetic moment: 0.35 μB/atom
formation energy: -2.80 eV per formula unit

=====

First-principles (SCAN) data for Re3HgF at its PBEsol-relaxed geometry, as listed in Alexandria via LeMat-Bulk.

Cell lengths 4.2254, 4.2254, 4.2254 Å; angles 90.00, 90.00, 90.00 degrees
Space group Pm-3m (No. 221)
Unique sites:
Re1 0.0000 0.0000 0.5000 x3
Hg1 0.5000 0.5000 0.5000 x1
F1 0.0000 0.0000 0.0000 x1

Summary:
total magnetic moment: 0.12 μB/atom
uncorrected energy: -55.277 eV/atom

=====

First-principles (SCAN) data for La2YAg at its PBEsol-relaxed geometry, as listed in Alexandria via LeMat-Bulk.

Cell lengths 4.6553, 4.6553, 5.1473 Å; angles 90.00, 90.00, 90.00 degrees
Space group P4/mmm (No. 123)
Unique sites:
La1 0.0000 0.5000 0.0000 x2
Y1 0.0000 0.0000 0.5000 x1
Ag1 0.5000 0.5000 0.5000 x1

Summary:
total magnetic moment: 0.00 μB/atom
energy above the most stable polymorph in this dataset: 162.7 meV per atom
formation energy: 0.01 eV per formula unit

=====

First-principles (SCAN) data for PtF4 at its PBEsol-relaxed geometry, as listed in Alexandria via LeMat-Bulk.

Cell lengths 9.2984, 9.4908, 5.7884 Å; angles 90.00, 90.00, 90.00 degrees
Space group Fdd2 (No. 43)
Unique sites:
Pt1 0.0000 0.0000 0.0000 x8
F1 0.1169 0.4123 0.2399 x16
F2 0.1176 0.4107 0.7210 x16

Summary:
total magnetic moment: 0.00 μB/atom
uncorrected energy: -18.254 eV/atom

=====

First-principles (SCAN) data for Sc2ZnSe at its PBEsol-relaxed geometry, as listed in Alexandria via LeMat-Bulk.

Cell lengths 3.4757, 4.1306, 11.0271 Å; angles 90.00, 90.00, 90.00 degrees
Space group Imm2 (No. 44)
Unique sites:
Sc1 0.0000 0.0000 0.0000 x2
Sc2 0.0000 0.5000 0.2433 x2
Zn1 0.0000 0.5000 0.8043 x2
Se1 0.0000 0.0000 0.5491 x2

Summary:
total magnetic moment: 0.00 μB/atom
energy above the most stable polymorph in this dataset: 274.7 meV per atom

=====

First-principles (SCAN) data for SiBC3 at its PBEsol-relaxed geometry, as listed in Alexandria via LeMat-Bulk.

Cell lengths 3.6908, 3.6908, 3.6908 Å; angles 90.00, 90.00, 90.00 degrees
Space group Pm-3m (No. 221)
Unique sites:
Si1 0.0000 0.0000 0.0000 x1
B1 0.5000 0.5000 0.5000 x1
C1 0.0000 0.0000 0.5000 x3

Summary:
total magnetic moment: 0.00 μB/atom
uncorrected energy: -6.671 eV/atom

=====

First-principles (SCAN) data for Be2CoRu2 at its PBEsol-relaxed geometry, as listed in Alexandria via LeMat-Bulk.

Cell lengths 5.8559, 5.8559, 2.9994 Å; angles 90.00, 90.00, 90.00 degrees
Space group P4/mbm (No. 127)
Unique sites:
Be1 0.1259 0.3741 0.0000 x4
Co1 0.0000 0.0000 0.0000 x2
Ru1 0.1732 0.6732 0.5000 x4

Summary:
total magnetic moment: 0.54 μB/atom
formation energy: -1.44 eV per formula unit

=====

First-principles (SCAN) data for MnOs2Cl at its PBEsol-relaxed geometry, as listed in Alexandria via LeMat-Bulk.

Cell lengths 2.9368, 2.9368, 6.5568 Å; angles 90.00, 90.00, 90.00 degrees
Space group P4/mmm (No. 123)
Unique sites:
Mn1 0.0000 0.0000 0.0000 x1
Os1 0.5000 0.5000 0.2091 x2
Cl1 0.0000 0.0000 0.5000 x1

Summary:
total magnetic moment: 0.45 μB/atom
energy above the most stable polymorph in this dataset: 469.6 meV per atom

=====

First-principles (SCAN) data for CoTc at its PBEsol-relaxed geometry, as listed in Alexandria via LeMat-Bulk.

Cell lengths 5.1152, 5.1152, 5.1152 Å; angles 90.00, 90.00, 90.00 degrees
Space group F-43m (No. 216)
Unique sites:
Co1 0.0000 0.0000 0.0000 x4
Tc1 0.2500 0.2500 0.7500 x4

Summary:
total magnetic moment: 0.15 μB/atom
energy above the most stable polymorph in this dataset: 1337.3 meV per atom
formation energy: 2.80 eV per formula unit

=====

First-principles (SCAN) data for IrWO2F at its PBEsol-relaxed geometry, as listed in Alexandria via LeMat-Bulk.

Cell lengths 3.8612, 3.8612, 4.1075 Å; angles 90.00, 90.00, 90.00 degrees
Space group P4/mmm (No. 123)
Unique sites:
Ir1 0.0000 0.0000 0.0000 x1
W1 0.5000 0.5000 0.5000 x1
O1 0.0000 0.5000 0.5000 x2
F1 0.5000 0.5000 0.0000 x1

Summary:
total magnetic moment: 0.40 μB/atom
uncorrected energy: -31.653 eV/atom

=====

First-principles (SCAN) data for Sc2Mo at its PBEsol-relaxed geometry, as listed in Alexandria via LeMat-Bulk.

Cell lengths 4.7145, 4.7145, 5.9142 Å; angles 90.00, 90.00, 120.00 degrees
Space group P6_3/mmc (No. 194)
Unique sites:
Sc1 0.0000 0.0000 0.0000 x2
Sc2 0.3333 0.6667 0.2500 x2
Mo1 0.3333 0.6667 0.7500 x2

Summary:
total magnetic moment: 0.00 μB/atom
energy above the most stable polymorph in this dataset: 123.0 meV per atom
formation energy: 0.48 eV per formula unit

=====

First-principles (SCAN) data for InHg2 at its PBEsol-relaxed geometry, as listed in Alexandria via LeMat-Bulk.

Cell lengths 6.9010, 6.9010, 6.9010 Å; angles 90.00, 90.00, 90.00 degrees
Space group Pa-3 (No. 205)
Unique sites:
In1 0.0000 0.0000 0.0000 x4
Hg1 0.1246 0.6246 0.8754 x8

Summary:
total magnetic moment: 0.00 μB/atom
formation energy: 0.13 eV per formula unit

=====

First-principles (SCAN) data for LiNi2OF3 at its PBEsol-relaxed geometry, as listed in Alexandria via LeMat-Bulk.

Cell lengths 5.7716, 5.7716, 5.0292 Å; angles 90.00, 90.00, 120.00 degrees
Space group P-3m1 (No. 164)
Unique sites:
Li1 0.3333 0.6667 0.0275 x2
Ni1 0.0000 0.0000 0.0000 x1
Ni2 0.0000 0.5000 0.5000 x3
O1 0.3333 0.6667 0.6578 x2
F1 0.1690 0.3381 0.2224 x6

Summary:
total magnetic moment: 0.57 μB/atom
energy above the most stable polymorph in this dataset: 15.8 meV per atom

=====

First-principles (SCAN) data for CoTeOs2 at its PBEsol-relaxed geometry, as listed in Alexandria via LeMat-Bulk.

Cell lengths 2.9618, 4.2492, 9.6875 Å; angles 90.00, 90.00, 90.00 degrees
Space group Immm (No. 71)
Unique sites:
Co1 0.0000 0.0000 0.0000 x2
Te1 0.0000 0.0000 0.5000 x2
Os1 0.0000 0.5000 0.2196 x4

Summary:
total magnetic moment: 0.42 μB/atom
uncorrected energy: -48.793 eV/atom

=====

First-principles (SCAN) data for CrGaAsBr2 at its PBEsol-relaxed geometry, as listed in Alexandria via LeMat-Bulk.

Cell lengths 5.1284, 5.1284, 4.6823 Å; angles 90.00, 90.00, 90.00 degrees
Space group P4/mmm (No. 123)
Unique sites:
Cr1 0.0000 0.0000 0.0000 x1
Ga1 0.5000 0.5000 0.5000 x1
As1 0.0000 0.0000 0.5000 x1
Br1 0.0000 0.5000 0.0000 x2

Summary:
total magnetic moment: 0.40 μB/atom
uncorrected energy: -18.926 eV/atom

=====

First-principles (SCAN) data for MgTi2BBr at its PBEsol-relaxed geometry, as listed in Alexandria via LeMat-Bulk.

Cell lengths 4.5682, 4.5682, 4.7044 Å; angles 90.00, 90.00, 90.00 degrees
Space group P4/mmm (No. 123)
Unique sites:
Mg1 0.0000 0.0000 0.0000 x1
Ti1 0.0000 0.5000 0.5000 x2
B1 0.5000 0.5000 0.0000 x1
Br1 0.0000 0.0000 0.5000 x1

Summary:
total magnetic moment: 0.00 μB/atom
uncorrected energy: -11.455 eV/atom

=====

First-principles (SCAN) data for Li5Y at its PBEsol-relaxed geometry, as listed in Alexandria via LeMat-Bulk.

Cell lengths 5.1711, 3.1598, 16.2020 Å; angles 90.00, 90.00, 90.00 degrees
Space group Amm2 (No. 38)
Unique sites:
Li1 0.0000 0.0000 0.0000 x2
Li2 0.0000 0.0000 0.3185 x2
Li3 0.0000 0.0000 0.6520 x2
Li4 0.5000 0.0000 0.1083 x2
Li5 0.5000 0.0000 0.7591 x2
Y1 0.5000 0.0000 0.4343 x2

Summary:
total magnetic moment: 0.09 μB/atom
energy above the most stable polymorph in this dataset: 37.6 meV per atom
formation energy: 0.63 eV per formula unit

=====

First-principles (SCAN) data for TlZn2Pt2 at its PBEsol-relaxed geometry, as listed in Alexandria via LeMat-Bulk.

Cell lengths 3.6579, 3.6579, 12.6664 Å; angles 90.00, 90.00, 90.00 degrees
Space group I4/mmm (No. 139)
Unique sites:
Tl1 0.0000 0.0000 0.0000 x2
Zn1 0.0000 0.5000 0.2500 x4
Pt1 0.0000 0.0000 0.3930 x4

Summary:
total magnetic moment: 0.00 μB/atom
formation energy: -1.46 eV per formula unit